Record 1
! PBE TcAuSe2, optimized geometry; values from VASP
! * offset from the most stable computed form: 0.3166 eV/atom
! * formation energy (no corrections): 113 meV/atom
! * energy: -5.040 eV per atom
&SYSTEM
  ibrav = 0, nat = 4, ntyp = 3
/
ATOMIC_SPECIES
Tc 98.00 Tc.upf
Au 196.97 Au.upf
Se 78.96 Se.upf
CELL_PARAMETERS angstrom
-1.480 2.424 5.806
1.480 -2.424 5.806
1.480 2.424 -5.806
ATOMIC_POSITIONS crystal
Tc 0.000 0.000 0.000
Au 0.500 0.500 0.000
Se 0.172 0.672 0.500
Se 0.828 0.328 0.500



Record 2
! PBE TcAu2Se, optimized geometry; values from VASP
! * formation energy (no corrections): 63 meV/atom
! * energy: -5.038 eV per atom
&SYSTEM
  ibrav = 0, nat = 4, ntyp = 3
/
ATOMIC_SPECIES
Tc 98.00 Tc.upf
Au 196.97 Au.upf
Se 78.96 Se.upf
CELL_PARAMETERS angstrom
1.514 0.874 9.502
-1.514 0.874 9.502
0.000 -1.748 9.502
ATOMIC_POSITIONS crystal
Tc 0.000 0.000 0.000
Au 0.253 0.253 0.253
Au 0.504 0.504 0.504
Se 0.726 0.726 0.726



Record 3
! PBE Tc2AuSe, optimized geometry; values from VASP
! * formation energy (no corrections): 656 meV/atom
! * energy: -6.218 eV per atom
&SYSTEM
  ibrav = 0, nat = 4, ntyp = 3
/
ATOMIC_SPECIES
Tc 98.00 Tc.upf
Au 196.97 Au.upf
Se 78.96 Se.upf
CELL_PARAMETERS angstrom
1.485 -2.468 0.000
1.485 2.468 0.000
0.000 0.000 8.919
ATOMIC_POSITIONS crystal
Tc 0.000 0.000 0.227
Tc 0.000 0.000 0.773
Au 0.500 0.500 0.500
Se 0.500 0.500 0.000



Record 4
! PBE TcAuSe2, optimized geometry; values from VASP
! * offset from the most stable computed form: 0.6336 eV/atom
! * formation energy (no corrections): 430 meV/atom
! * energy: -4.723 eV per atom
&SYSTEM
  ibrav = 0, nat = 4, ntyp = 3
/
ATOMIC_SPECIES
Tc 98.00 Tc.upf
Au 196.97 Au.upf
Se 78.96 Se.upf
CELL_PARAMETERS angstrom
-2.179 2.179 3.652
2.179 -2.179 3.652
2.179 2.179 -3.652
ATOMIC_POSITIONS crystal
Tc 0.000 0.000 0.000
Au 0.500 0.500 0.000
Se 0.250 0.750 0.500
Se 0.750 0.250 0.500



Record 5
! PBE TcAuSe2, optimized geometry; values from VASP
! * offset from the most stable computed form: 0.1290 eV/atom
! * formation energy (no corrections): -74 meV/atom
! * energy: -5.227 eV per atom
&SYSTEM
  ibrav = 0, nat = 8, ntyp = 3
/
ATOMIC_SPECIES
Tc 98.00 Tc.upf
Au 196.97 Au.upf
Se 78.96 Se.upf
CELL_PARAMETERS angstrom
4.116 -5.621 0.000
4.116 5.621 0.000
-3.926 0.000 4.115
ATOMIC_POSITIONS crystal
Tc 0.000 0.000 0.000
Tc 0.000 0.000 0.500
Au 0.084 0.665 0.125
Au 0.665 0.084 0.625
Se 0.249 0.387 0.068
Se 0.387 0.249 0.568
Se 0.649 0.870 0.010
Se 0.870 0.649 0.510



Record 6
! PBE TcAuSe4, optimized geometry; values from VASP
! * formation energy (no corrections): 1016 meV/atom
! * energy: -3.581 eV per atom
&SYSTEM
  ibrav = 0, nat = 6, ntyp = 3
/
ATOMIC_SPECIES
Tc 98.00 Tc.upf
Au 196.97 Au.upf
Se 78.96 Se.upf
CELL_PARAMETERS angstrom
0.000 4.001 4.001
4.001 0.000 4.001
4.001 4.001 0.000
ATOMIC_POSITIONS crystal
Tc 0.000 0.000 0.000
Au 0.750 0.750 0.750
Se 0.375 0.375 0.375
Se 0.375 0.375 0.874
Se 0.375 0.874 0.375
Se 0.874 0.375 0.375



Record 7
! PBE TcAu2Se, optimized geometry; values from VASP
! * formation energy (no corrections): 357 meV/atom
! * energy: -4.744 eV per atom
&SYSTEM
  ibrav = 0, nat = 4, ntyp = 3
/
ATOMIC_SPECIES
Tc 98.00 Tc.upf
Au 196.97 Au.upf
Se 78.96 Se.upf
CELL_PARAMETERS angstrom
4.438 0.000 0.000
0.000 1.409 5.637
0.000 -1.409 5.637
ATOMIC_POSITIONS crystal
Tc 0.000 0.000 0.000
Au 0.000 0.256 0.256
Au 0.500 0.633 0.633
Se 0.500 0.903 0.903



Record 8
! PBE TcAuSe2, optimized geometry; values from VASP
! * offset from the most stable computed form: 0.2038 eV/atom
! * formation energy (no corrections): 1 meV/atom
! * energy: -5.152 eV per atom
&SYSTEM
  ibrav = 0, nat = 4, ntyp = 3
/
ATOMIC_SPECIES
Tc 98.00 Tc.upf
Au 196.97 Au.upf
Se 78.96 Se.upf
CELL_PARAMETERS angstrom
3.256 0.000 0.000
-1.628 2.820 0.000
0.000 0.000 8.320
ATOMIC_POSITIONS crystal
Tc 0.000 0.000 0.000
Au 0.333 0.667 0.492
Se 0.333 0.667 0.805
Se 0.667 0.333 0.219



Record 9
! PBE TcAuSe2, optimized geometry; values from VASP
! * offset from the most stable computed form: 0.6538 eV/atom
! * formation energy (no corrections): 451 meV/atom
! * energy: -4.702 eV per atom
&SYSTEM
  ibrav = 0, nat = 4, ntyp = 3
/
ATOMIC_SPECIES
Tc 98.00 Tc.upf
Au 196.97 Au.upf
Se 78.96 Se.upf
CELL_PARAMETERS angstrom
0.000 3.279 3.279
3.279 0.000 3.279
3.279 3.279 0.000
ATOMIC_POSITIONS crystal
Tc 0.000 0.000 0.000
Au 0.500 0.500 0.500
Se 0.250 0.250 0.250
Se 0.750 0.750 0.750



Record 10
! PBE TcAu3Se, optimized geometry; values from VASP
! * offset from the most stable computed form: 0.0000 eV/atom
! * formation energy (no corrections): 1197 meV/atom
! * energy: -3.540 eV per atom
&SYSTEM
  ibrav = 0, nat = 5, ntyp = 3
/
ATOMIC_SPECIES
Tc 98.00 Tc.upf
Au 196.97 Au.upf
Se 78.96 Se.upf
CELL_PARAMETERS angstrom
4.947 0.000 0.000
0.000 4.947 0.000
0.000 0.000 4.947
ATOMIC_POSITIONS crystal
Tc 0.000 0.000 0.000
Au 0.000 0.500 0.500
Au 0.500 0.000 0.500
Au 0.500 0.500 0.000
Se 0.500 0.500 0.500



Record 11
! PBE TcAu2Se, optimized geometry; values from VASP
! * formation energy (no corrections): 556 meV/atom
! * energy: -4.545 eV per atom
&SYSTEM
  ibrav = 0, nat = 4, ntyp = 3
/
ATOMIC_SPECIES
Tc 98.00 Tc.upf
Au 196.97 Au.upf
Se 78.96 Se.upf
CELL_PARAMETERS angstrom
-1.942 1.942 4.839
1.942 -1.942 4.839
1.942 1.942 -4.839
ATOMIC_POSITIONS crystal
Tc 0.000 0.000 0.000
Au 0.250 0.750 0.500
Au 0.750 0.250 0.500
Se 0.500 0.500 0.000



Record 12
! PBE Tc2AuSe, optimized geometry; values from VASP
! * formation energy (no corrections): 441 meV/atom
! * energy: -6.433 eV per atom
&SYSTEM
  ibrav = 0, nat = 4, ntyp = 3
/
ATOMIC_SPECIES
Tc 98.00 Tc.upf
Au 196.97 Au.upf
Se 78.96 Se.upf
CELL_PARAMETERS angstrom
-1.512 2.254 4.760
1.512 -2.254 4.760
1.512 2.254 -4.760
ATOMIC_POSITIONS crystal
Tc 0.000 0.000 0.000
Tc 0.759 0.259 0.500
Au 0.469 0.469 0.000
Se 0.211 0.711 0.500